No. 1
DFT (PBE) results for an optimized crystal structure of CeIn9Rh2.

a = 9.446 Å, b = 9.446 Å, c = 9.446 Å
α = 98.74°, β = 98.74°, γ = 134.11°
Positions (direct):
1 Ce 0.375 0.625 0.750
2 Ce 0.625 0.375 0.250
3 In 0.109 0.554 0.315
4 In 0.109 0.794 0.556
5 In 0.125 0.875 0.250
6 In 0.206 0.262 0.315
7 In 0.206 0.891 0.944
8 In 0.262 0.206 0.815
9 In 0.262 0.446 0.056
10 In 0.446 0.262 0.556
11 In 0.446 0.891 0.185
12 In 0.554 0.109 0.815
13 In 0.554 0.738 0.444
14 In 0.738 0.554 0.944
15 In 0.738 0.794 0.185
16 In 0.794 0.109 0.056
17 In 0.794 0.738 0.685
18 In 0.875 0.125 0.750
19 In 0.891 0.206 0.444
20 In 0.891 0.446 0.685
21 Rh 0.000 0.000 0.000
22 Rh 0.000 0.000 0.500
23 Rh 0.000 0.500 0.000
24 Rh 0.500 0.000 0.500

The value obtained for the formation energy is -1.760 eV/f.u. The value obtained for the total energy is -3.92 eV/atom.

No. 2
DFT (PBE) results for an optimized crystal structure of La3Nd8Sm2.

a = 8.780 Å, b = 8.780 Å, c = 12.213 Å
α = 90.00°, β = 90.00°, γ = 95.69°
Positions (direct):
1 La 0.000 0.000 0.000
2 La 0.140 0.360 0.250
3 La 0.360 0.140 0.750
4 La 0.500 0.500 0.500
5 La 0.640 0.860 0.250
6 La 0.860 0.640 0.750
7 Nd 0.059 0.941 0.279
8 Nd 0.101 0.379 0.914
9 Nd 0.121 0.399 0.586
10 Nd 0.173 0.827 0.571
11 Nd 0.327 0.673 0.071
12 Nd 0.379 0.101 0.086
13 Nd 0.399 0.121 0.414
14 Nd 0.441 0.559 0.779
15 Nd 0.559 0.441 0.221
16 Nd 0.601 0.879 0.586
17 Nd 0.621 0.899 0.914
18 Nd 0.673 0.327 0.929
19 Nd 0.827 0.173 0.429
20 Nd 0.879 0.601 0.414
21 Nd 0.899 0.621 0.086
22 Nd 0.941 0.059 0.721
23 Sm 0.194 0.806 0.847
24 Sm 0.306 0.694 0.347
25 Sm 0.694 0.306 0.653
26 Sm 0.806 0.194 0.153

The value obtained for the formation energy is 1.905 eV/f.u. For the energy above the most stable polymorph in this dataset, the calculation gives 0.0 meV per atom. The value obtained for the total energy is -4.65 eV/atom.

No. 3
DFT (PBE) results for an optimized crystal structure of Ac4Ir2N.

a = 14.179 Å, b = 14.179 Å, c = 14.179 Å
α = 16.97°, β = 16.97°, γ = 16.97°
Positions (direct):
1 Ac 0.121 0.121 0.121
2 Ac 0.297 0.297 0.297
3 Ac 0.703 0.703 0.703
4 Ac 0.879 0.879 0.879
5 Ir 0.416 0.416 0.416
6 Ir 0.584 0.584 0.584
7 N 0.000 0.000 0.000

For the uncorrected formation energy, the calculation gives -619 meV per atom. For the energy above the most stable polymorph in this dataset, the calculation gives 29.0 meV per atom. The value obtained for the total energy is -6.69 eV/atom.

No. 4
DFT (PBE) results for an optimized crystal structure of TlF.

a = 4.014 Å, b = 4.014 Å, c = 4.014 Å
α = 60.00°, β = 60.00°, γ = 60.00°
Positions (direct):
1 Tl 0.000 0.000 0.000
2 F 0.500 0.500 0.500

For the uncorrected formation energy, the calculation gives -1718 meV per atom. For the energy above the most stable polymorph in this dataset, the calculation gives 38.7 meV per atom. The value obtained for the total energy is -3.84 eV/atom.

No. 5
DFT (PBE) results for an optimized crystal structure of Pu2NpSi6.

a = 7.040 Å, b = 7.040 Å, c = 3.823 Å
α = 90.00°, β = 90.00°, γ = 120.00°
Positions (direct):
1 Pu 0.333 0.667 0.000
2 Pu 0.667 0.333 0.000
3 Np 0.000 0.000 0.000
4 Si 0.000 0.333 0.500
5 Si 0.000 0.667 0.500
6 Si 0.333 0.000 0.500
7 Si 0.333 0.333 0.500
8 Si 0.667 0.000 0.500
9 Si 0.667 0.667 0.500

For the uncorrected formation energy, the calculation gives -386 meV per atom. The value obtained for the total energy is -8.62 eV/atom.

No. 6
DFT (PBE) results for an optimized crystal structure of CeCuSe3.

a = 9.243 Å, b = 9.243 Å, c = 6.330 Å
α = 90.00°, β = 90.00°, γ = 123.30°
Positions (direct):
1 Ce 0.080 0.420 0.250
2 Ce 0.420 0.080 0.750
3 Ce 0.580 0.920 0.250
4 Ce 0.920 0.580 0.750
5 Cu 0.087 0.913 0.388
6 Cu 0.413 0.587 0.888
7 Cu 0.587 0.413 0.112
8 Cu 0.913 0.087 0.612
9 Se 0.051 0.949 0.772
10 Se 0.115 0.385 0.750
11 Se 0.237 0.763 0.481
12 Se 0.263 0.737 0.981
13 Se 0.385 0.115 0.250
14 Se 0.449 0.551 0.272
15 Se 0.551 0.449 0.728
16 Se 0.615 0.885 0.750
17 Se 0.737 0.263 0.019
18 Se 0.763 0.237 0.519
19 Se 0.885 0.615 0.250
20 Se 0.949 0.051 0.228

For the uncorrected formation energy, the calculation gives -950 meV per atom. The value obtained for the total energy is -5.05 eV/atom.

No. 7
DFT (PBE) results for an optimized crystal structure of TbPuTiN3.

a = 7.072 Å, b = 3.510 Å, c = 7.760 Å
α = 90.00°, β = 95.15°, γ = 90.00°
Positions (direct):
1 Tb 0.153 0.250 0.151
2 Tb 0.847 0.750 0.849
3 Pu 0.377 0.750 0.830
4 Pu 0.623 0.250 0.170
5 Ti 0.106 0.250 0.599
6 Ti 0.894 0.750 0.401
7 N 0.100 0.250 0.852
8 N 0.167 0.750 0.508
9 N 0.398 0.750 0.121
10 N 0.602 0.250 0.879
11 N 0.833 0.250 0.492
12 N 0.900 0.750 0.148

For the uncorrected formation energy, the calculation gives -1229 meV per atom. The value obtained for the total energy is -9.87 eV/atom.

No. 8
DFT (PBE) results for an optimized crystal structure of YIn2BiIr.

a = 5.156 Å, b = 5.156 Å, c = 5.381 Å
α = 90.00°, β = 90.00°, γ = 90.00°
Positions (direct):
1 Y 0.000 0.000 0.000
2 In 0.000 0.500 0.500
3 In 0.500 0.000 0.500
4 Bi 0.500 0.500 0.000
5 Ir 0.000 0.000 0.500

The value obtained for the formation energy is -1.477 eV/f.u. The value obtained for the total energy is -5.23 eV/atom.

No. 9
DFT (PBE) results for an optimized crystal structure of NiRh4Se.

a = 5.124 Å, b = 5.124 Å, c = 5.124 Å
α = 60.00°, β = 60.00°, γ = 60.00°
Positions (direct):
1 Ni 0.000 0.000 0.000
2 Rh 0.124 0.625 0.625
3 Rh 0.625 0.124 0.625
4 Rh 0.625 0.625 0.124
5 Rh 0.625 0.625 0.625
6 Se 0.250 0.250 0.250

For the uncorrected formation energy, the calculation gives 583 meV per atom. The value obtained for the total energy is -5.86 eV/atom.

No. 10
DFT (PBE) results for an optimized crystal structure of Mn2VCo4.

a = 5.580 Å, b = 5.580 Å, c = 2.793 Å
α = 90.00°, β = 90.00°, γ = 93.13°
Positions (direct):
1 Mn 0.202 0.202 0.000
2 Mn 0.798 0.798 0.000
3 V 0.500 0.500 0.500
4 Co 0.000 0.500 0.500
5 Co 0.255 0.745 0.000
6 Co 0.500 0.000 0.500
7 Co 0.745 0.255 0.000

The value obtained for the formation energy is 1.002 eV/f.u. The value obtained for the total energy is -7.84 eV/atom.

No. 11
DFT (PBE) results for an optimized crystal structure of CePuP2.

a = 4.025 Å, b = 4.025 Å, c = 13.405 Å
α = 90.00°, β = 90.00°, γ = 120.00°
Positions (direct):
1 Ce 0.000 0.000 0.000
2 Ce 0.000 0.000 0.500
3 Pu 0.333 0.667 0.250
4 Pu 0.667 0.333 0.750
5 P 0.333 0.667 0.625
6 P 0.333 0.667 0.875
7 P 0.667 0.333 0.125
8 P 0.667 0.333 0.375

The value obtained for the formation energy is -5.090 eV/f.u. For the energy above the most stable polymorph in this dataset, the calculation gives 60.9 meV per atom. The value obtained for the total energy is -9.04 eV/atom.

No. 12
DFT (PBE) results for an optimized crystal structure of IrRu3W.

a = 4.601 Å, b = 4.601 Å, c = 4.601 Å
α = 90.00°, β = 90.00°, γ = 90.00°
Positions (direct):
1 Ir 0.000 0.000 0.000
2 Ru 0.000 0.000 0.500
3 Ru 0.000 0.500 0.000
4 Ru 0.500 0.000 0.000
5 W 0.500 0.500 0.500

The value obtained for the formation energy is 11.068 eV/f.u. For the energy above the most stable polymorph in this dataset, the calculation gives 756.7 meV per atom. The value obtained for the total energy is -7.71 eV/atom.

No. 13
DFT (PBE) results for an optimized crystal structure of Ac6Ni2IrAu.

a = 8.238 Å, b = 8.238 Å, c = 8.238 Å
α = 54.92°, β = 54.92°, γ = 54.92°
Positions (direct):
1 Ac 0.002 0.340 0.658
2 Ac 0.133 0.864 0.518
3 Ac 0.340 0.658 0.002
4 Ac 0.518 0.133 0.864
5 Ac 0.658 0.002 0.340
6 Ac 0.864 0.518 0.133
7 Ni 0.250 0.250 0.250
8 Ni 0.746 0.746 0.746
9 Ir 0.928 0.928 0.928
10 Au 0.430 0.430 0.430

The value obtained for the formation energy is -3.967 eV/f.u. The value obtained for the total energy is -5.23 eV/atom.

No. 14
DFT (PBE) results for an optimized crystal structure of NbRePS2.

a = 4.696 Å, b = 4.696 Å, c = 5.068 Å
α = 90.00°, β = 90.00°, γ = 90.00°
Positions (direct):
1 Nb 0.000 0.000 0.000
2 Re 0.500 0.500 0.500
3 P 0.000 0.000 0.500
4 S 0.000 0.500 0.000
5 S 0.500 0.000 0.000

For the uncorrected formation energy, the calculation gives 970 meV per atom. For the energy above the most stable polymorph in this dataset, the calculation gives 214.5 meV per atom. The value obtained for the total energy is -6.27 eV/atom.

No. 15
DFT (PBE) results for an optimized crystal structure of TmMgIn3.

a = 6.242 Å, b = 13.278 Å, c = 6.211 Å
α = 90.00°, β = 99.03°, γ = 90.00°
Positions (direct):
1 Tm 0.217 0.190 0.013
2 Tm 0.217 0.810 0.513
3 Tm 0.783 0.190 0.487
4 Tm 0.783 0.810 0.987
5 Mg 0.000 0.390 0.250
6 Mg 0.000 0.610 0.750
7 Mg 0.500 0.385 0.250
8 Mg 0.500 0.615 0.750
9 In 0.000 0.009 0.250
10 In 0.000 0.991 0.750
11 In 0.251 0.412 0.804
12 In 0.251 0.588 0.304
13 In 0.287 0.221 0.519
14 In 0.287 0.779 0.019
15 In 0.500 0.015 0.750
16 In 0.500 0.985 0.250
17 In 0.713 0.221 0.981
18 In 0.713 0.779 0.481
19 In 0.749 0.412 0.696
20 In 0.749 0.588 0.196

The value obtained for the formation energy is -0.950 eV/f.u. For the energy above the most stable polymorph in this dataset, the calculation gives 0.0 meV per atom. The value obtained for the total energy is -3.05 eV/atom.

No. 16
DFT (PBE) results for an optimized crystal structure of Nd6Tl2Pd.

a = 9.012 Å, b = 9.012 Å, c = 3.906 Å
α = 90.00°, β = 90.00°, γ = 120.00°
Positions (direct):
1 Nd 0.000 0.400 0.000
2 Nd 0.000 0.752 0.500
3 Nd 0.248 0.248 0.500
4 Nd 0.400 0.000 0.000
5 Nd 0.600 0.600 0.000
6 Nd 0.752 0.000 0.500
7 Tl 0.333 0.667 0.500
8 Tl 0.667 0.333 0.500
9 Pd 0.000 0.000 0.000

The value obtained for the formation energy is -3.206 eV/f.u. For the energy above the most stable polymorph in this dataset, the calculation gives 0.0 meV per atom. The value obtained for the total energy is -4.64 eV/atom.

No. 17
DFT (PBE) results for an optimized crystal structure of ZnRh2Pb.

a = 4.559 Å, b = 4.559 Å, c = 4.559 Å
α = 60.00°, β = 60.00°, γ = 60.00°
Positions (direct):
1 Zn 0.000 0.000 0.000
2 Rh 0.500 0.500 0.500
3 Rh 0.750 0.750 0.750
4 Pb 0.250 0.250 0.250

The value obtained for the formation energy is 0.615 eV/f.u. The value obtained for the total energy is -4.77 eV/atom.

No. 18
DFT (PBE) results for an optimized crystal structure of Dy6BiTe3Se2.

a = 7.381 Å, b = 7.381 Å, c = 7.506 Å
α = 99.48°, β = 99.48°, γ = 120.01°
Positions (direct):
1 Dy 0.070 0.422 0.772
2 Dy 0.218 0.218 0.220
3 Dy 0.422 0.070 0.772
4 Dy 0.578 0.930 0.228
5 Dy 0.782 0.782 0.780
6 Dy 0.930 0.578 0.228
7 Bi 0.500 0.500 0.000
8 Te 0.000 0.000 0.500
9 Te 0.341 0.659 0.500
10 Te 0.659 0.341 0.500
11 Se 0.169 0.831 0.000
12 Se 0.831 0.169 0.000

For the uncorrected formation energy, the calculation gives -1370 meV per atom. The value obtained for the total energy is -5.36 eV/atom.

No. 19
DFT (PBE) results for an optimized crystal structure of Sc2CuHPb.

a = 4.478 Å, b = 4.478 Å, c = 4.136 Å
α = 90.00°, β = 90.00°, γ = 90.00°
Positions (direct):
1 Sc 0.000 0.500 0.000
2 Sc 0.500 0.000 0.000
3 Cu 0.000 0.000 0.500
4 H 0.000 0.000 0.000
5 Pb 0.500 0.500 0.500

The value obtained for the total energy is -5.07 eV/atom.

No. 20
DFT (PBE) results for an optimized crystal structure of Tb3NdNi.

a = 5.357 Å, b = 5.357 Å, c = 5.357 Å
α = 90.00°, β = 90.00°, γ = 90.00°
Positions (direct):
1 Tb 0.000 0.000 0.500
2 Tb 0.000 0.500 0.000
3 Tb 0.500 0.000 0.000
4 Nd 0.500 0.500 0.500
5 Ni 0.000 0.000 0.000

The value obtained for the formation energy is -0.279 eV/f.u. For the energy above the most stable polymorph in this dataset, the calculation gives 30.9 meV per atom. The value obtained for the total energy is -4.94 eV/atom.